First-principles (PBE) data for a relaxed Y4Tm19Th6 crystal, as listed in Alexandria.

## Properties
As for the crystal system: cubic. The electronic total energy comes out at -4.925 eV/atom.

abc: 10.6991 10.6991 10.6991
angles: 109.47 109.47 109.47
Fractional coordinates of all 29 atoms:
Y 0.0000 0.0000 0.6440
Y 0.0000 0.6440 0.0000
Y 0.3560 0.3560 0.3560
Y 0.6440 0.0000 0.0000
Tm 0.0000 0.0000 0.0000
Tm 0.0000 0.2641 0.2641
Tm 0.0000 0.7359 0.7359
Tm 0.0191 0.8100 0.3419
Tm 0.1900 0.2091 0.5319
Tm 0.2091 0.5319 0.1900
Tm 0.2641 0.0000 0.2641
Tm 0.2641 0.2641 0.0000
Tm 0.3228 0.7909 0.9809
Tm 0.3419 0.0191 0.8100
Tm 0.4681 0.6772 0.6581
Tm 0.5319 0.1900 0.2091
Tm 0.6581 0.4681 0.6772
Tm 0.6772 0.6581 0.4681
Tm 0.7359 0.0000 0.7359
Tm 0.7359 0.7359 0.0000
Tm 0.7909 0.9809 0.3228
Tm 0.8100 0.3419 0.0191
Tm 0.9809 0.3228 0.7909
Th 0.1301 0.6301 0.5000
Th 0.3699 0.5000 0.8699
Th 0.5000 0.1301 0.6301
Th 0.5000 0.8699 0.3699
Th 0.6301 0.5000 0.1301
Th 0.8699 0.3699 0.5000


First-principles (PBE) data for a relaxed Y6Tm4Th crystal, as listed in Alexandria.

## Properties
As for the crystal system: orthorhombic. The electronic total energy comes out at -5.686 eV/atom.

abc: 5.6252 5.6252 25.6393
angles: 90.00 90.00 119.77
Fractional coordinates of all 22 atoms:
Y 0.0000 0.0000 0.0000
Y 0.0000 0.0000 0.5000
Y 0.0046 0.9954 0.7500
Y 0.3297 0.6703 0.1009
Y 0.3297 0.6703 0.3991
Y 0.3378 0.6622 0.6819
Y 0.3378 0.6622 0.8181
Y 0.6622 0.3378 0.1819
Y 0.6622 0.3378 0.3181
Y 0.6703 0.3297 0.6009
Y 0.6703 0.3297 0.8991
Y 0.9954 0.0046 0.2500
Tm 0.0046 0.9954 0.6217
Tm 0.0046 0.9954 0.8783
Tm 0.3347 0.6653 0.5413
Tm 0.3347 0.6653 0.9587
Tm 0.6653 0.3347 0.0413
Tm 0.6653 0.3347 0.4587
Tm 0.9954 0.0046 0.1217
Tm 0.9954 0.0046 0.3783
Th 0.3291 0.6709 0.2500
Th 0.6709 0.3291 0.7500


First-principles (PBE) data for a relaxed YTm2Th3 crystal, as listed in Alexandria.

## Properties
As for the energy relative to the lowest polymorph listed for this composition: 0.000 eV per atom. As for the crystal system: monoclinic. The electronic total energy comes out at -6.237 eV/atom.

abc: 9.3945 9.3945 6.1747
angles: 90.25 90.25 44.12
Fractional coordinates of all 12 atoms:
Y 0.1287 0.8713 0.7500
Y 0.8713 0.1287 0.2500
Tm 0.0430 0.2940 0.9169
Tm 0.2940 0.0430 0.4169
Tm 0.7060 0.9570 0.5831
Tm 0.9570 0.7060 0.0831
Th 0.2123 0.4546 0.5840
Th 0.3794 0.6206 0.2500
Th 0.4546 0.2123 0.0840
Th 0.5454 0.7877 0.9160
Th 0.6206 0.3794 0.7500
Th 0.7877 0.5454 0.4160


First-principles (PBE) data for a relaxed YTmThZr crystal, as listed in Alexandria.

## Properties
As for the crystal system: cubic. The electronic total energy comes out at -6.562 eV/atom.

abc: 5.4729 5.4729 5.4729
angles: 60.00 60.00 60.00
Fractional coordinates of all 4 atoms:
Y 0.0000 0.0000 0.0000
Tm 0.2500 0.2500 0.2500
Th 0.5000 0.5000 0.5000
Zr 0.7500 0.7500 0.7500


First-principles (PBE) data for a relaxed TmThZn3 crystal, as listed in Alexandria.

## Properties
As for the crystal system: orthorhombic. The electronic total energy comes out at -3.430 eV/atom.

abc: 13.6589 13.6589 4.5369
angles: 90.00 90.00 165.01
Fractional coordinates of all 10 atoms:
Tm 0.2099 0.7901 0.7500
Tm 0.7901 0.2099 0.2500
Th 0.0743 0.9257 0.2500
Th 0.9257 0.0743 0.7500
Zn 0.3236 0.6764 0.7500
Zn 0.3778 0.6222 0.2500
Zn 0.4760 0.5240 0.2500
Zn 0.5240 0.4760 0.7500
Zn 0.6222 0.3778 0.7500
Zn 0.6764 0.3236 0.2500


First-principles (PBE) data for a relaxed Tm2ThZn crystal, as listed in Alexandria.

## Properties
As for the energy relative to the lowest polymorph listed for this composition: 0.174 eV per atom. As for the crystal system: tetragonal. The electronic total energy comes out at -4.400 eV/atom.

abc: 4.7170 4.7170 4.8014
angles: 90.00 90.00 90.00
Fractional coordinates of all 4 atoms:
Tm 0.0000 0.5000 0.0000
Tm 0.5000 0.0000 0.0000
Th 0.0000 0.0000 0.5000
Zn 0.5000 0.5000 0.5000


Number 1: DOS at the Fermi energy 48.2 states/eV/cell, DFT formation energy 12.5 eV per formula unit. Number 2: DOS at the Fermi energy 40.5 states/eV/cell, DFT formation energy 1.5 eV per formula unit. Number 3: DOS at the Fermi energy 17.7 states/eV/cell, DFT formation energy 0.2 eV per formula unit. Number 4: DOS at the Fermi energy 8.0 states/eV/cell, DFT formation energy 0.7 eV per formula unit. Number 5: DOS at the Fermi energy 9.0 states/eV/cell, DFT formation energy -1.4 eV per formula unit. Number 6: DOS at the Fermi energy 5.3 states/eV/cell, DFT formation energy 0.0 eV per formula unit.